*w*
Computed, not measured: LiSi2Mo after structural relaxation at the GGA-PBE level of DFT.

Fermi-level density of states = 3.80 states/eV/f.u.
density = 4.45 Mg/m³

Cell: 3.7150 3.7150 8.9962 Å, 78.08 78.08 90.00°
Positions (direct):
Mo (0.0000, 0.0000, 0.0000)
Mo (0.7500, 0.2500, 0.5000)
Si (0.6314, 0.1250, 0.2500)
Si (0.1186, 0.6250, 0.2500)
Si (0.3750, 0.3686, 0.7500)
Si (0.8750, 0.8814, 0.7500)
Li (0.5000, 0.5000, 0.0000)
Li (0.2500, 0.7500, 0.5000)



*x*
Computed, not measured: LiSi2Mo after structural relaxation at the GGA-PBE level of DFT.

Fermi-level density of states = 1.51 states/eV/f.u.
density = 4.74 Mg/m³

Cell: 3.3289 3.3289 5.0319 Å, 90.00 90.00 90.00°
Positions (direct):
Li (0.0000, 0.0000, 0.4878)
Mo (0.5000, 0.5000, 0.7705)
Si (0.0000, 0.0000, 0.9777)
Si (0.5000, 0.5000, 0.2640)



Of all the structures shown, which is most stable? *x*, and *w* is the least stable.